No. 1
First-principles (GGA-PBEsol) data for a relaxed structure of CsIF2, as listed in the Alexandria database.

The structure in POSCAR format:
```
CsIF2
1.0
-4.682 0.078 -1.312
-2.492 -4.160 -0.369
-4.069 -0.888 5.457
F I Cs
2 1 1
Direct
0.888 0.888 0.336
0.112 0.112 0.664
0.000 0.000 0.000
0.500 0.500 0.500
```

Total magnetization ... 0.00 μB per cell
Crystal system ... trigonal
Space-group type ... R-3m
Formation energy from raw total energies ... -1.90 eV per atom

***

No. 2
First-principles (GGA-PBEsol) data for a relaxed structure of SrLi3Pd, as listed in the Alexandria database.

The structure in POSCAR format:
```
SrLi3Pd
1.0
4.881 0.000 0.000
0.000 4.881 0.000
0.000 0.000 4.881
Li Pd Sr
3 1 1
Direct
0.000 0.000 0.500
0.500 0.000 0.000
0.000 0.500 0.000
0.000 0.000 0.000
0.500 0.500 0.500
```

Total magnetization ... 0.00 μB per cell
ΔH_f (0 K) ... -0.10 eV/atom
Crystal system ... cubic
Space-group type ... Pm-3m

***

No. 3
First-principles (GGA-PBEsol) data for a relaxed structure of LiLa2Sn2, as listed in the Alexandria database.

The structure in POSCAR format:
```
LiLa2Sn2
1.0
4.733 0.000 0.000
0.000 7.838 0.000
0.000 0.000 7.838
Li La Sn
2 4 4
Direct
0.000 0.000 0.000
0.000 0.500 0.500
0.500 0.673 0.827
0.500 0.327 0.173
0.500 0.827 0.327
0.500 0.173 0.673
0.000 0.631 0.131
0.000 0.869 0.631
0.000 0.369 0.869
0.000 0.131 0.369
```

Total magnetization ... 0.00 μB per cell
ΔH_f (0 K) ... -0.67 eV/atom
Crystal system ... tetragonal
Space-group type ... P4/mbm

***

No. 4
First-principles (GGA-PBEsol) data for a relaxed structure of ReAgC2, as listed in the Alexandria database.

The structure in POSCAR format:
```
ReAgC2
1.0
3.887 0.000 0.000
1.943 3.366 0.000
1.943 1.122 3.174
Ag C Re
1 2 1
Direct
0.000 0.000 0.000
0.250 0.250 0.250
0.750 0.750 0.750
0.500 0.500 0.500
```

Total magnetization ... 0.01 μB per cell
ΔH_f (0 K) ... 1.98 eV/atom
Crystal system ... cubic
Space-group type ... Fm-3m

***

No. 5
First-principles (GGA-PBEsol) data for a relaxed structure of BaTlNi2, as listed in the Alexandria database.

The structure in POSCAR format:
```
BaTlNi2
1.0
-1.756 0.807 4.593
-4.868 -0.513 0.932
-1.620 -3.823 2.756
Ni Ba Tl
2 1 1
Direct
0.000 0.000 0.000
0.750 0.750 0.750
0.500 0.500 0.500
0.250 0.250 0.250
```

Total magnetization ... 0.31 μB per cell
ΔH_f (0 K) ... 0.61 eV/atom
Crystal system ... cubic
Space-group type ... F-43m

***

No. 6
First-principles (GGA-PBEsol) data for a relaxed structure of ZnNi3, as listed in the Alexandria database.

The structure in POSCAR format:
```
ZnNi3
1.0
2.512 0.000 0.000
0.000 3.449 0.000
0.000 0.000 5.026
Ni Zn
3 1
Direct
0.000 0.000 0.742
0.000 0.000 0.258
0.500 0.500 0.500
0.500 0.500 0.000
```

Total magnetization ... 0.96 μB per cell
ΔH_f (0 K) ... -0.11 eV/atom
Crystal system ... orthorhombic
Space-group type ... Pmmm

***

No. 7
First-principles (GGA-PBEsol) data for a relaxed structure of CuSiMo2, as listed in the Alexandria database.

The structure in POSCAR format:
```
CuSiMo2
1.0
2.660 0.010 0.000
-0.605 2.590 0.000
0.000 0.000 7.939
Mo Cu Si
2 1 1
Direct
0.000 0.000 0.256
0.000 0.000 0.744
0.500 0.500 0.000
0.500 0.500 0.500
```

Total magnetization ... 0.00 μB per cell
Crystal system ... orthorhombic
Space-group type ... Cmmm
Formation energy from raw total energies ... 0.09 eV per atom

***

No. 8
First-principles (GGA-PBEsol) data for a relaxed structure of NiPd3F, as listed in the Alexandria database.

The structure in POSCAR format:
```
NiPd3F
1.0
-0.351 -4.077 0.896
4.054 -0.118 1.049
-0.995 0.955 3.955
Pd F Ni
3 1 1
Direct
0.000 0.000 0.500
0.000 0.500 0.000
0.500 0.000 0.000
0.000 0.000 0.000
0.500 0.500 0.500
```

Total magnetization ... 1.54 μB per cell
Crystal system ... cubic
Space-group type ... Pm-3m
Formation energy from raw total energies ... 0.61 eV per atom

***

We obtain N(E_F) values of 0.00; 0.52; 0.82; 1.15; 1.53; 1.37; 0.58; 2.03 states/eV per atom for the records listed above, in that order.